[1]
Compound: PuTcB3
Source: Alexandria
Functional: PBE
Structure: relaxed

CIF file:
```
data_PuTcB3
_cell_length_a 3.759
_cell_length_b 18.940
_cell_length_c 3.064
_cell_angle_alpha 90.00
_cell_angle_beta 90.00
_cell_angle_gamma 90.00
_symmetry_space_group_name_H-M 'C m c m'
_symmetry_Int_Tables_number 63
_symmetry_space_group_name_Hall '-C 2c 2'
loop_
_atom_site_label
_atom_site_type_symbol
_atom_site_fract_x
_atom_site_fract_y
_atom_site_fract_z
Pu1 Pu 0.000 0.073 0.250
Tc1 Tc 0.000 0.205 0.750
B1 B 0.000 0.323 0.750
B2 B 0.000 0.371 0.250
B3 B 0.000 0.476 0.250
```

Output
energy relative to the elements: -309 meV/atom
energy: -46.28 eV per formula unit

***

[2]
Compound: CeThPS
Source: Alexandria
Functional: PBE
Structure: relaxed

CIF file:
```
data_CeThPS
_cell_length_a 4.086
_cell_length_b 4.086
_cell_length_c 5.763
_cell_angle_alpha 90.00
_cell_angle_beta 90.00
_cell_angle_gamma 90.00
_symmetry_space_group_name_H-M 'P 4/m m m'
_symmetry_Int_Tables_number 123
_symmetry_space_group_name_Hall '-P 4 2'
loop_
_atom_site_label
_atom_site_type_symbol
_atom_site_fract_x
_atom_site_fract_y
_atom_site_fract_z
Ce1 Ce 0.000 0.000 0.000
Th1 Th 0.500 0.500 0.500
P1 P 0.000 0.000 0.500
S1 S 0.500 0.500 0.000
```

Output
E_form (uncorrected): -1783 meV/atom
energy: -30.02 eV per formula unit

***

[3]
Compound: PuAs5
Source: Alexandria
Functional: PBE
Structure: relaxed

CIF file:
```
data_PuAs5
_cell_length_a 3.988
_cell_length_b 15.727
_cell_length_c 4.024
_cell_angle_alpha 90.00
_cell_angle_beta 90.00
_cell_angle_gamma 90.00
_symmetry_space_group_name_H-M 'C m m m'
_symmetry_Int_Tables_number 65
_symmetry_space_group_name_Hall '-C 2 2'
loop_
_atom_site_label
_atom_site_type_symbol
_atom_site_fract_x
_atom_site_fract_y
_atom_site_fract_z
Pu1 Pu 0.000 0.000 0.000
As1 As 0.000 0.147 0.500
As2 As 0.000 0.349 0.000
As3 As 0.000 0.500 0.500
```

Output
energy relative to the elements: -188 meV/atom
energy: -38.71 eV per formula unit

***

[4]
Compound: Hf5TaCo6
Source: Alexandria
Functional: PBE
Structure: relaxed

CIF file:
```
data_Hf5TaCo6
_cell_length_a 13.953
_cell_length_b 6.359
_cell_length_c 4.407
_cell_angle_alpha 90.00
_cell_angle_beta 108.31
_cell_angle_gamma 90.00
_symmetry_space_group_name_H-M 'C 1 2/m 1'
_symmetry_Int_Tables_number 12
loop_
_symmetry_equiv_pos_as_xyz
'x,y,z'
'-x,-y,-z'
'-x,y,-z'
'x,-y,z'
'x+1/2,y+1/2,z'
'-x+1/2,-y+1/2,-z'
'-x+1/2,y+1/2,-z'
'x+1/2,-y+1/2,z'
loop_
_atom_site_label
_atom_site_type_symbol
_atom_site_fract_x
_atom_site_fract_y
_atom_site_fract_z
Hf1 Hf 0.000 0.000 0.000
Hf2 Hf 0.166 0.000 0.666
Hf3 Hf 0.167 0.500 0.666
Ta1 Ta 0.000 0.500 0.000
Co1 Co 0.000 0.261 0.500
Co2 Co 0.162 0.255 0.162
```

Output
energy relative to the elements: -337 meV/atom
energy: -108.29 eV per formula unit

***

[5]
Compound: DyHoMgMn
Source: Alexandria
Functional: PBE
Structure: relaxed

CIF file:
```
data_DyHoMgMn
_cell_length_a 7.303
_cell_length_b 7.303
_cell_length_c 7.303
_cell_angle_alpha 90.00
_cell_angle_beta 90.00
_cell_angle_gamma 90.00
_symmetry_space_group_name_H-M 'F -4 3 m'
_symmetry_Int_Tables_number 216
_symmetry_space_group_name_Hall 'F -4 2 3'
loop_
_atom_site_label
_atom_site_type_symbol
_atom_site_fract_x
_atom_site_fract_y
_atom_site_fract_z
Dy1 Dy 0.000 0.000 0.000
Ho1 Ho 0.000 0.000 0.500
Mg1 Mg 0.250 0.250 0.250
Mn1 Mn 0.250 0.250 0.750
```

Output
energy relative to the elements: 95 meV/atom
energy: -19.56 eV per formula unit

***

[6]
Compound: K3SrAg8
Source: Alexandria
Functional: PBE
Structure: relaxed

CIF file:
```
data_K3SrAg8
_cell_length_a 5.9185
_cell_length_b 5.9185
_cell_length_c 29.5251
_cell_angle_alpha 90.00
_cell_angle_beta 90.00
_cell_angle_gamma 120.00
_symmetry_space_group_name_H-M 'R 3 m'
_symmetry_Int_Tables_number 160
_symmetry_space_group_name_Hall 'R 3 -2"'
loop_
_atom_site_label
_atom_site_type_symbol
_atom_site_fract_x
_atom_site_fract_y
_atom_site_fract_z
K1 K 0.0000 0.0000 0.0000
K2 K 0.0000 0.0000 0.1223
K3 K 0.0000 0.0000 0.6291
Sr1 Sr 0.0000 0.0000 0.5019
Ag1 Ag 0.0000 0.0000 0.3135
Ag2 Ag 0.0000 0.0000 0.8133
Ag3 Ag 0.0033 0.5017 0.0652
Ag4 Ag 0.1683 0.3366 0.8950
```

Output
energy relative to the elements: -42 meV/atom
energy: -28.28 eV per formula unit

***

[7]
Compound: AcDy9Er2
Source: Alexandria
Functional: PBE
Structure: relaxed

CIF file:
```
data_AcDy9Er2
_cell_length_a 5.048
_cell_length_b 5.048
_cell_length_c 15.173
_cell_angle_alpha 90.00
_cell_angle_beta 90.00
_cell_angle_gamma 90.00
_symmetry_space_group_name_H-M 'P 4/m m m'
_symmetry_Int_Tables_number 123
_symmetry_space_group_name_Hall '-P 4 2'
loop_
_atom_site_label
_atom_site_type_symbol
_atom_site_fract_x
_atom_site_fract_y
_atom_site_fract_z
Ac1 Ac 0.000 0.000 0.000
Dy1 Dy 0.000 0.500 0.175
Dy2 Dy 0.000 0.500 0.500
Dy3 Dy 0.500 0.500 0.000
Dy4 Dy 0.500 0.500 0.338
Er1 Er 0.000 0.000 0.336
```

Output
energy relative to the elements: 38 meV/atom
energy: -54.20 eV per formula unit

***

[8]
Compound: CaGaAg2
Source: Alexandria
Functional: PBE
Structure: relaxed

CIF file:
```
data_CaGaAg2
_cell_length_a 3.624
_cell_length_b 3.624
_cell_length_c 6.576
_cell_angle_alpha 90.00
_cell_angle_beta 90.00
_cell_angle_gamma 90.00
_symmetry_space_group_name_H-M 'P 4/m m m'
_symmetry_Int_Tables_number 123
_symmetry_space_group_name_Hall '-P 4 2'
loop_
_atom_site_label
_atom_site_type_symbol
_atom_site_fract_x
_atom_site_fract_y
_atom_site_fract_z
Ca1 Ca 0.000 0.000 0.000
Ga1 Ga 0.000 0.000 0.500
Ag1 Ag 0.500 0.500 0.279
```

Output
energy relative to the elements: -166 meV/atom
energy: -11.39 eV per formula unit

***

[9]
Compound: V2CuSeCl
Source: Alexandria
Functional: PBE
Structure: relaxed

CIF file:
```
data_V2CuSeCl
_cell_length_a 4.949
_cell_length_b 4.949
_cell_length_c 4.563
_cell_angle_alpha 90.00
_cell_angle_beta 90.00
_cell_angle_gamma 90.00
_symmetry_space_group_name_H-M 'P 4/m m m'
_symmetry_Int_Tables_number 123
_symmetry_space_group_name_Hall '-P 4 2'
loop_
_atom_site_label
_atom_site_type_symbol
_atom_site_fract_x
_atom_site_fract_y
_atom_site_fract_z
V1 V 0.000 0.500 0.000
Cu1 Cu 0.000 0.000 0.500
Se1 Se 0.000 0.000 0.000
Cl1 Cl 0.500 0.500 0.500
```

Output
E_form (uncorrected): 528 meV/atom
energy: -25.02 eV per formula unit

***

[10]
Compound: Ho6Ga2Bi
Source: Alexandria
Functional: PBE
Structure: relaxed

CIF file:
```
data_Ho6Ga2Bi
_cell_length_a 9.544
_cell_length_b 9.650
_cell_length_c 10.708
_cell_angle_alpha 90.00
_cell_angle_beta 90.00
_cell_angle_gamma 90.00
_symmetry_space_group_name_H-M 'I m m m'
_symmetry_Int_Tables_number 71
_symmetry_space_group_name_Hall '-I 2 2'
loop_
_atom_site_label
_atom_site_type_symbol
_atom_site_fract_x
_atom_site_fract_y
_atom_site_fract_z
Ho1 Ho 0.000 0.200 0.180
Ho2 Ho 0.186 0.220 0.500
Ho3 Ho 0.207 0.500 0.259
Ga1 Ga 0.000 0.000 0.381
Ga2 Ga 0.143 0.000 0.000
Bi1 Bi 0.000 0.500 0.000
Bi2 Bi 0.000 0.500 0.500
```

Output
energy relative to the elements: -451 meV/atom
energy: -41.46 eV per formula unit

***

[11]
Compound: KPSN2
Source: Alexandria
Functional: PBE
Structure: relaxed

CIF file:
```
data_KPSN2
_cell_length_a 3.778
_cell_length_b 3.778
_cell_length_c 4.736
_cell_angle_alpha 90.00
_cell_angle_beta 90.00
_cell_angle_gamma 90.00
_symmetry_space_group_name_H-M 'P 4/m m m'
_symmetry_Int_Tables_number 123
_symmetry_space_group_name_Hall '-P 4 2'
loop_
_atom_site_label
_atom_site_type_symbol
_atom_site_fract_x
_atom_site_fract_y
_atom_site_fract_z
K1 K 0.000 0.000 0.000
P1 P 0.500 0.500 0.500
S1 S 0.500 0.500 0.000
N1 N 0.000 0.500 0.500
```

Output
E_form (uncorrected): 874 meV/atom
energy: -22.91 eV per formula unit

***

[12]
Compound: CsZnIr2F
Source: Alexandria
Functional: PBE
Structure: relaxed

CIF file:
```
data_CsZnIr2F
_cell_length_a 4.595
_cell_length_b 4.595
_cell_length_c 8.181
_cell_angle_alpha 90.00
_cell_angle_beta 90.00
_cell_angle_gamma 90.00
_symmetry_space_group_name_H-M 'P 4/m m m'
_symmetry_Int_Tables_number 123
_symmetry_space_group_name_Hall '-P 4 2'
loop_
_atom_site_label
_atom_site_type_symbol
_atom_site_fract_x
_atom_site_fract_y
_atom_site_fract_z
Cs1 Cs 0.000 0.000 0.000
Zn1 Zn 0.000 0.000 0.500
Ir1 Ir 0.000 0.500 0.500
F1 F 0.500 0.500 0.000
```

Output
E_form (uncorrected): 704 meV/atom
energy: -18.20 eV per formula unit